(1)
Compound: Ga2CuSe3S
Source: OQMD
Functional: PBE
Structure: relaxed

a b c (Å): 5.465 5.488 6.583
angles (deg): 65.71 66.29 89.46
Atoms (fractional coordinates):
S 0.620 0.116 0.253
Cu 0.990 0.005 0.007
Se 0.902 0.863 0.737
Se 0.128 0.632 0.268
Se 0.359 0.393 0.736
Ga 0.747 0.247 0.495
Ga 0.505 0.493 0.004

Properties
As for the total energy: -3.94 eV/atom.

(2)
Compound: ZrZnCoPb
Source: OQMD
Functional: PBE
Structure: relaxed

a b c (Å): 4.641 4.641 4.641
angles (deg): 60.00 60.00 60.00
Atoms (fractional coordinates):
Pb 0.000 0.000 0.000
Zn 0.250 0.250 0.250
Co 0.750 0.750 0.750
Zr 0.500 0.500 0.500

Properties
For the relative energy among the computed polymorphs, the calculation gives 0.0 meV per atom.

(3)
Compound: ZrNbW2
Source: OQMD
Functional: PBE
Structure: relaxed

a b c (Å): 4.648 4.648 4.648
angles (deg): 60.00 60.00 60.00
Atoms (fractional coordinates):
W 0.000 0.000 0.000
W 0.250 0.250 0.250
Nb 0.750 0.750 0.750
Zr 0.500 0.500 0.500

Properties
The calculation puts the formation energy at 7.1 kJ/mol of atoms.

Repeat the first record exactly.
Compound: Ga2CuSe3S
Source: OQMD
Functional: PBE
Structure: relaxed

a b c (Å): 5.465 5.488 6.583
angles (deg): 65.71 66.29 89.46
Atoms (fractional coordinates):
S 0.620 0.116 0.253
Cu 0.990 0.005 0.007
Se 0.902 0.863 0.737
Se 0.128 0.632 0.268
Se 0.359 0.393 0.736
Ga 0.747 0.247 0.495
Ga 0.505 0.493 0.004

Properties
As for the total energy: -3.94 eV/atom.